No. 1
This record from Alexandria via LeMat-Bulk describes a relaxed Tc2Ru crystal. The functional is PBE-GGA.

```
12
Lattice="-2.572 1.110 -2.656 2.557 -0.755 -2.792 -3.958 -11.033 2.028" Properties=species:S:1:pos:R:3 pbc="T T T"
Ru -0.664 -1.818 -0.117
Ru -0.040 -3.987 -1.628
Ru -1.368 -7.624 -1.861
Ru -3.309 -8.860 -3.304
Tc -0.669 -1.633 -2.840
Tc -5.250 -10.297 -2.024
Tc -1.287 0.552 -1.328
Tc -3.930 -6.683 -1.792
Tc -1.984 -5.431 -0.348
Tc -2.608 -3.063 -1.560
Tc -1.989 -5.247 -3.072
Tc -3.304 -9.045 -0.580
```

Output
Uncorrected energy: -119.3 eV per cell
Energy above the lowest structure with this stoichiometry: 107.9 meV per atom
DOS(E_F): 1.37 states/eV per atom
SG: I4_1/amd, No. 141
Energy of formation from the pure elements: 61 meV per atom

No. 2
This record from Alexandria via LeMat-Bulk describes a relaxed TcRu2 crystal. The functional is PBE-GGA.

```
6
Lattice="10.865 -4.057 2.977 8.699 -6.472 5.080 -9.838 4.025 -5.511" Properties=species:S:1:pos:R:3 pbc="T T T"
Ru 2.789 -3.032 1.168
Ru 5.852 -4.680 2.430
Ru 8.250 -4.440 3.398
Ru 11.313 -6.089 4.659
Tc 0.000 0.000 0.000
Tc 5.404 -2.648 0.747
```

Output
Uncorrected energy: -56.3 eV per cell
Energy above the lowest structure with this stoichiometry: 310.8 meV per atom
DOS(E_F): 1.13 states/eV per atom
SG: I4_1/amd, No. 141
Energy of formation from the pure elements: 258 meV per atom